Record 1
Material: Tb3Ho4Th2
Method: DFT, PBE-GGA
State: relaxed

Summary:
**E above lowest polymorph**: 0 meV/atom
**ΔH_f (0 K)**: -0.014 eV per formula unit
**Volume**: 31.6 Å³/atom
**DOS(E_F)**: 12.499 states/eV/f.u.
**E_tot**: -0.384 Ry per atom

Cell and atoms, written as CIF:
```
data_Tb3Ho4Th2
_chemical_formula_sum 'Tb6 Ho8 Th4'
_symmetry_space_group_name_H-M 'C 1 2/m 1'
_symmetry_Int_Tables_number 12
_cell_length_a 18.600
_cell_length_b 3.583
_cell_length_c 9.486
_cell_angle_alpha 90.00
_cell_angle_beta 115.72
_cell_angle_gamma 90.00
loop_
_symmetry_equiv_pos_as_xyz
'x,y,z'
'-x,-y,-z'
'-x,y,-z'
'x,-y,z'
'x+1/2,y+1/2,z'
'-x+1/2,-y+1/2,-z'
'-x+1/2,y+1/2,-z'
'x+1/2,-y+1/2,z'
loop_
_atom_site_label
_atom_site_type_symbol
_atom_site_fract_x
_atom_site_fract_y
_atom_site_fract_z
Tb1 Tb 0.000 0.000 0.000
Tb2 Tb 0.149 0.000 0.671
Ho1 Ho 0.018 0.500 0.333
Ho2 Ho 0.185 0.000 0.331
Th1 Th 0.168 0.500 0.001
```


Record 2
Material: Tb5Ho4Th
Method: DFT, PBE-GGA
State: relaxed

Summary:
**E above lowest polymorph**: 0 meV/atom
**ΔH_f (0 K)**: 2.158 eV per formula unit
**Volume**: 33.6 Å³/atom
**DOS(E_F)**: 14.034 states/eV/f.u.
**E_tot**: -0.343 Ry per atom

Cell and atoms, written as CIF:
```
data_Tb5Ho4Th
_chemical_formula_sum 'Tb10 Ho8 Th2'
_symmetry_space_group_name_H-M 'C 1 2/m 1'
_symmetry_Int_Tables_number 12
_cell_length_a 17.737
_cell_length_b 3.550
_cell_length_c 10.953
_cell_angle_alpha 90.00
_cell_angle_beta 102.65
_cell_angle_gamma 90.00
loop_
_symmetry_equiv_pos_as_xyz
'x,y,z'
'-x,-y,-z'
'-x,y,-z'
'x,-y,z'
'x+1/2,y+1/2,z'
'-x+1/2,-y+1/2,-z'
'-x+1/2,y+1/2,-z'
'x+1/2,-y+1/2,z'
loop_
_atom_site_label
_atom_site_type_symbol
_atom_site_fract_x
_atom_site_fract_y
_atom_site_fract_z
Tb1 Tb 0.000 0.000 0.000
Tb2 Tb 0.159 0.500 0.421
Tb3 Tb 0.169 0.500 0.019
Ho1 Ho 0.025 0.500 0.759
Ho2 Ho 0.178 0.000 0.719
Th1 Th 0.000 0.000 0.500
```


Record 3
Material: Tb5Ho2Th4
Method: DFT, PBE-GGA
State: relaxed

Summary:
**E above lowest polymorph**: 0 meV/atom
**ΔH_f (0 K)**: 0.269 eV per formula unit
**Volume**: 32.0 Å³/atom
**DOS(E_F)**: 16.083 states/eV/f.u.
**E_tot**: -0.412 Ry per atom

Cell and atoms, written as CIF:
```
data_Tb5Ho2Th4
_chemical_formula_sum 'Tb10 Ho4 Th8'
_symmetry_space_group_name_H-M 'C 1 2/m 1'
_symmetry_Int_Tables_number 12
_cell_length_a 23.409
_cell_length_b 3.578
_cell_length_c 8.694
_cell_angle_alpha 90.00
_cell_angle_beta 104.67
_cell_angle_gamma 90.00
loop_
_symmetry_equiv_pos_as_xyz
'x,y,z'
'-x,-y,-z'
'-x,y,-z'
'x,-y,z'
'x+1/2,y+1/2,z'
'-x+1/2,-y+1/2,-z'
'-x+1/2,y+1/2,-z'
'x+1/2,-y+1/2,z'
loop_
_atom_site_label
_atom_site_type_symbol
_atom_site_fract_x
_atom_site_fract_y
_atom_site_fract_z
Tb1 Tb 0.000 0.000 0.000
Tb2 Tb 0.137 0.500 0.096
Tb3 Tb 0.226 0.500 0.811
Ho1 Ho 0.089 0.000 0.717
Th1 Th 0.047 0.500 0.364
Th2 Th 0.182 0.000 0.452
```


Record 4
Material: Tb6Ho2Th
Method: DFT, PBE-GGA
State: relaxed

Summary:
**E above lowest polymorph**: 0 meV/atom
**ΔH_f (0 K)**: 0.521 eV per formula unit
**Volume**: 32.3 Å³/atom
**DOS(E_F)**: 16.639 states/eV/f.u.
**E_tot**: -0.358 Ry per atom

Cell and atoms, written as CIF:
```
data_Tb6Ho2Th
_chemical_formula_sum 'Tb6 Ho2 Th1'
_symmetry_space_group_name_H-M 'P -6 m 2'
_symmetry_Int_Tables_number 187
_symmetry_space_group_name_Hall 'P -6 2'
_cell_length_a 3.5691
_cell_length_b 3.5691
_cell_length_c 26.3193
_cell_angle_alpha 90.00
_cell_angle_beta 90.00
_cell_angle_gamma 120.00
loop_
_atom_site_label
_atom_site_type_symbol
_atom_site_fract_x
_atom_site_fract_y
_atom_site_fract_z
Tb1 Tb 0.0000 0.0000 0.0656
Tb2 Tb 0.0000 0.0000 0.2800
Tb3 Tb 0.3333 0.6667 0.3894
Ho1 Ho 0.3333 0.6667 0.1711
Th1 Th 0.0000 0.0000 0.5000
```


Record 5
Material: Tb3Ho8Th
Method: DFT, PBE-GGA
State: relaxed

Summary:
**ΔH_f (0 K)**: 9.301 eV per formula unit
**Volume**: 37.7 Å³/atom
**DOS(E_F)**: 16.050 states/eV/f.u.
**E_tot**: -0.298 Ry per atom

Cell and atoms, written as CIF:
```
data_Tb3Ho8Th
_chemical_formula_sum 'Tb6 Ho16 Th2'
_symmetry_space_group_name_H-M 'I 4/m m m'
_symmetry_Int_Tables_number 139
_symmetry_space_group_name_Hall '-I 4 2'
_cell_length_a 7.670
_cell_length_b 7.670
_cell_length_c 15.387
_cell_angle_alpha 90.00
_cell_angle_beta 90.00
_cell_angle_gamma 90.00
loop_
_atom_site_label
_atom_site_type_symbol
_atom_site_fract_x
_atom_site_fract_y
_atom_site_fract_z
Tb1 Tb 0.000 0.000 0.000
Tb2 Tb 0.000 0.500 0.250
Ho1 Ho 0.249 0.249 0.376
Th1 Th 0.000 0.000 0.500
```


Record 6
Material: Tb6HoTh12
Method: DFT, PBE-GGA
State: relaxed

Summary:
**ΔH_f (0 K)**: 4.710 eV per formula unit
**Volume**: 33.4 Å³/atom
**DOS(E_F)**: 29.477 states/eV/f.u.
**E_tot**: -0.451 Ry per atom

Cell and atoms, written as CIF:
```
data_Tb6HoTh12
_chemical_formula_sum 'Tb18 Ho3 Th36'
_symmetry_space_group_name_H-M 'R -3 m'
_symmetry_Int_Tables_number 166
_symmetry_space_group_name_Hall '-R 3 2"'
_cell_length_a 13.3629
_cell_length_b 13.3629
_cell_length_c 12.2942
_cell_angle_alpha 90.00
_cell_angle_beta 90.00
_cell_angle_gamma 120.00
loop_
_atom_site_label
_atom_site_type_symbol
_atom_site_fract_x
_atom_site_fract_y
_atom_site_fract_z
Tb1 Tb 0.0421 0.5210 0.1194
Ho1 Ho 0.0000 0.0000 0.5000
Th1 Th 0.0000 0.2524 0.0000
Th2 Th 0.0890 0.1779 0.7606
```


Record 7
Material: TbHoTh3
Method: DFT, PBE-GGA
State: relaxed

Summary:
**E above lowest polymorph**: 173 meV/atom
**ΔH_f (0 K)**: 2.846 eV per formula unit
**Volume**: 34.5 Å³/atom
**DOS(E_F)**: 8.420 states/eV/f.u.
**E_tot**: -0.421 Ry per atom

Cell and atoms, written as CIF:
```
data_TbHoTh3
_chemical_formula_sum 'Tb6 Ho6 Th18'
_symmetry_space_group_name_H-M 'R -3'
_symmetry_Int_Tables_number 148
_symmetry_space_group_name_Hall '-R 3'
_cell_length_a 8.4858
_cell_length_b 8.4858
_cell_length_c 16.5857
_cell_angle_alpha 90.00
_cell_angle_beta 90.00
_cell_angle_gamma 120.00
loop_
_atom_site_label
_atom_site_type_symbol
_atom_site_fract_x
_atom_site_fract_y
_atom_site_fract_z
Tb1 Tb 0.0000 0.0000 0.0932
Ho1 Ho 0.0000 0.0000 0.4108
Th1 Th 0.0227 0.2534 0.7392
```


Record 8
Material: TbHoTh2
Method: DFT, PBE-GGA
State: relaxed

Summary:
**E above lowest polymorph**: 18 meV/atom
**ΔH_f (0 K)**: 0.192 eV per formula unit
**Volume**: 31.9 Å³/atom
**DOS(E_F)**: 6.032 states/eV/f.u.
**E_tot**: -0.438 Ry per atom

Cell and atoms, written as CIF:
```
data_TbHoTh2
_chemical_formula_sum 'Tb1 Ho1 Th2'
_symmetry_space_group_name_H-M 'P 4/m m m'
_symmetry_Int_Tables_number 123
_symmetry_space_group_name_Hall '-P 4 2'
_cell_length_a 5.012
_cell_length_b 5.012
_cell_length_c 5.083
_cell_angle_alpha 90.00
_cell_angle_beta 90.00
_cell_angle_gamma 90.00
loop_
_atom_site_label
_atom_site_type_symbol
_atom_site_fract_x
_atom_site_fract_y
_atom_site_fract_z
Tb1 Tb 0.000 0.000 0.000
Ho1 Ho 0.500 0.500 0.000
Th1 Th 0.000 0.500 0.500
```


Record 9
Material: Tb5Ho3Th3
Method: DFT, PBE-GGA
State: relaxed

Summary:
**ΔH_f (0 K)**: 10.138 eV per formula unit
**Volume**: 40.9 Å³/atom
**DOS(E_F)**: 18.326 states/eV/f.u.
**E_tot**: -0.327 Ry per atom

Cell and atoms, written as CIF:
```
data_Tb5Ho3Th3
_chemical_formula_sum 'Tb5 Ho3 Th3'
_symmetry_space_group_name_H-M 'P -6 2 m'
_symmetry_Int_Tables_number 189
_symmetry_space_group_name_Hall 'P -6 -2'
_cell_length_a 9.7759
_cell_length_b 9.7759
_cell_length_c 5.4375
_cell_angle_alpha 90.00
_cell_angle_beta 90.00
_cell_angle_gamma 120.00
loop_
_atom_site_label
_atom_site_type_symbol
_atom_site_fract_x
_atom_site_fract_y
_atom_site_fract_z
Tb1 Tb 0.0000 0.2652 0.0000
Tb2 Tb 0.3333 0.6667 0.0000
Ho1 Ho 0.0000 0.4509 0.5000
Th1 Th 0.0000 0.6321 0.0000
```


Record 10
Material: TbHo8Th4
Method: DFT, PBE-GGA
State: relaxed

Summary:
**ΔH_f (0 K)**: 2.885 eV per formula unit
**Volume**: 31.9 Å³/atom
**DOS(E_F)**: 14.083 states/eV/f.u.
**E_tot**: -0.385 Ry per atom

Cell and atoms, written as CIF:
```
data_TbHo8Th4
_chemical_formula_sum 'Tb3 Ho24 Th12'
_symmetry_space_group_name_H-M 'R -3 m'
_symmetry_Int_Tables_number 166
_symmetry_space_group_name_Hall '-R 3 2"'
_cell_length_a 7.3656
_cell_length_b 7.3656
_cell_length_c 26.5176
_cell_angle_alpha 90.00
_cell_angle_beta 90.00
_cell_angle_gamma 120.00
loop_
_atom_site_label
_atom_site_type_symbol
_atom_site_fract_x
_atom_site_fract_y
_atom_site_fract_z
Tb1 Tb 0.0000 0.0000 0.0000
Ho1 Ho 0.0000 0.0000 0.2794
Ho2 Ho 0.0408 0.5204 0.2698
Th1 Th 0.0000 0.0000 0.5000
Th2 Th 0.0000 0.5000 0.5000
```


Record 11
Material: Tb10HoTh4
Method: DFT, PBE-GGA
State: relaxed

Summary:
**ΔH_f (0 K)**: 4.359 eV per formula unit
**Volume**: 33.2 Å³/atom
**DOS(E_F)**: 20.434 states/eV/f.u.
**E_tot**: -0.373 Ry per atom

Cell and atoms, written as CIF:
```
data_Tb10HoTh4
_chemical_formula_sum 'Tb20 Ho2 Th8'
_symmetry_space_group_name_H-M 'I 4/m m m'
_symmetry_Int_Tables_number 139
_symmetry_space_group_name_Hall '-I 4 2'
_cell_length_a 11.348
_cell_length_b 11.348
_cell_length_c 7.732
_cell_angle_alpha 90.00
_cell_angle_beta 90.00
_cell_angle_gamma 90.00
loop_
_atom_site_label
_atom_site_type_symbol
_atom_site_fract_x
_atom_site_fract_y
_atom_site_fract_z
Tb1 Tb 0.000 0.209 0.208
Tb2 Tb 0.000 0.500 0.250
Ho1 Ho 0.000 0.000 0.500
Th1 Th 0.228 0.228 0.500
```


Record 12
Material: Tb2Ho2Th15
Method: DFT, PBE-GGA
State: relaxed

Summary:
**ΔH_f (0 K)**: 5.568 eV per formula unit
**Volume**: 34.1 Å³/atom
**DOS(E_F)**: 38.545 states/eV/f.u.
**E_tot**: -0.480 Ry per atom

Cell and atoms, written as CIF:
```
data_Tb2Ho2Th15
_chemical_formula_sum 'Tb6 Ho6 Th45'
_symmetry_space_group_name_H-M 'R -3 m'
_symmetry_Int_Tables_number 166
_symmetry_space_group_name_Hall '-R 3 2"'
_cell_length_a 11.3914
_cell_length_b 11.3914
_cell_length_c 17.3209
_cell_angle_alpha 90.00
_cell_angle_beta 90.00
_cell_angle_gamma 120.00
loop_
_atom_site_label
_atom_site_type_symbol
_atom_site_fract_x
_atom_site_fract_y
_atom_site_fract_z
Tb1 Tb 0.0000 0.0000 0.1852
Ho1 Ho 0.0000 0.0000 0.4022
Th1 Th 0.0000 0.2994 0.5000
Th2 Th 0.0000 0.5000 0.0000
Th3 Th 0.0095 0.5047 0.6466
```


Q: E_tot of number 3 (Tb5Ho2Th4)?
A: -0.412 Ry per atom


Q: Among the records above, which one has the highest DOS(E_F)?
A: Tb2Ho2Th15


Q: DOS(E_F) of number 3 (Tb5Ho2Th4)?
A: 16.083 states/eV/f.u.


Q: What is the ΔH_f (0 K) in the twelfth record?
A: 5.568 eV per formula unit